No. 1
TbYAg4 | PBE-GGA | relaxed

Structure (CIF):
```
data_TbYAg4
_chemical_formula_sum 'Tb2 Y2 Ag8'
_symmetry_space_group_name_H-M 'C 1 2/m 1'
_symmetry_Int_Tables_number 12
_cell_length_a 10.035
_cell_length_b 3.728
_cell_length_c 7.563
_cell_angle_alpha 90.00
_cell_angle_beta 112.20
_cell_angle_gamma 90.00
loop_
_symmetry_equiv_pos_as_xyz
'x,y,z'
'-x,-y,-z'
'-x,y,-z'
'x,-y,z'
'x+1/2,y+1/2,z'
'-x+1/2,-y+1/2,-z'
'-x+1/2,y+1/2,-z'
'x+1/2,-y+1/2,z'
loop_
_atom_site_label
_atom_site_type_symbol
_atom_site_fract_x
_atom_site_fract_y
_atom_site_fract_z
Tb1 Tb 0.000 0.000 0.000
Y1 Y 0.000 0.000 0.500
Ag1 Ag 0.170 0.500 0.335
Ag2 Ag 0.170 0.500 0.835
```

DFT formation energy ... -0.313 eV per atom
E above lowest polymorph ... 0.0000 eV per atom
Size of the total moment ... 0.00 μB/f.u.
DOS(E_F) ... 0.4254 states/eV/atom

No. 2
Tb5Y3Ag2 | PBE-GGA | relaxed

Structure (CIF):
```
data_Tb5Y3Ag2
_chemical_formula_sum 'Tb20 Y12 Ag8'
_symmetry_space_group_name_H-M 'I b a m'
_symmetry_Int_Tables_number 72
_symmetry_space_group_name_Hall '-I 2 2c'
_cell_length_a 11.271
_cell_length_b 16.402
_cell_length_c 6.537
_cell_angle_alpha 90.00
_cell_angle_beta 90.00
_cell_angle_gamma 90.00
loop_
_atom_site_label
_atom_site_type_symbol
_atom_site_fract_x
_atom_site_fract_y
_atom_site_fract_z
Tb1 Tb 0.000 0.000 0.250
Tb2 Tb 0.000 0.189 0.250
Tb3 Tb 0.235 0.056 0.000
Y1 Y 0.000 0.500 0.250
Y2 Y 0.209 0.336 0.000
Ag1 Ag 0.071 0.331 0.500
```

DFT formation energy ... 0.105 eV per atom
Size of the total moment ... 0.00 μB/f.u.
DOS(E_F) ... 1.2529 states/eV/atom

No. 3
Tb2Y2Ag | PBE-GGA | relaxed

Structure (CIF):
```
data_Tb2Y2Ag
_chemical_formula_sum 'Tb8 Y8 Ag4'
_symmetry_space_group_name_H-M 'I 41/a m d'
_symmetry_Int_Tables_number 141
_cell_length_a 5.038
_cell_length_b 5.038
_cell_length_c 24.631
_cell_angle_alpha 90.00
_cell_angle_beta 90.00
_cell_angle_gamma 90.00
loop_
_symmetry_equiv_pos_as_xyz
'x,y,z'
'-x,-y,-z'
'-y+1/4,x+3/4,z+1/4'
'y+1/4,-x+3/4,-z+1/4'
'-x+1/2,-y,z+1/2'
'x+1/2,y,-z+1/2'
'y+1/4,-x+1/4,z+3/4'
'-y+1/4,x+1/4,-z+3/4'
'x,-y,-z'
'-x,y,z'
'-y+1/4,-x+1/4,-z+3/4'
'y+1/4,x+1/4,z+3/4'
'-x+1/2,y,-z+1/2'
'x+1/2,-y,z+1/2'
'y+1/4,x+3/4,-z+1/4'
'-y+1/4,-x+3/4,z+1/4'
'x+1/2,y+1/2,z+1/2'
'-x+1/2,-y+1/2,-z+1/2'
'-y+3/4,x+1/4,z+3/4'
'y+3/4,-x+1/4,-z+3/4'
'-x,-y+1/2,z'
'x,y+1/2,-z'
'y+3/4,-x+3/4,z+1/4'
'-y+3/4,x+3/4,-z+1/4'
'x+1/2,-y+1/2,-z+1/2'
'-x+1/2,y+1/2,z+1/2'
'-y+3/4,-x+3/4,-z+1/4'
'y+3/4,x+3/4,z+1/4'
'-x,y+1/2,-z'
'x,-y+1/2,z'
'y+3/4,x+1/4,-z+3/4'
'-y+3/4,-x+1/4,z+3/4'
loop_
_atom_site_label
_atom_site_type_symbol
_atom_site_fract_x
_atom_site_fract_y
_atom_site_fract_z
Tb1 Tb 0.000 0.250 0.051
Y1 Y 0.000 0.250 0.199
Ag1 Ag 0.000 0.250 0.375
```

DFT formation energy ... 0.035 eV per atom
E above lowest polymorph ... 0.1383 eV per atom
Size of the total moment ... 1.70 μB/f.u.
DOS(E_F) ... 1.5578 states/eV/atom

No. 4
TbY3Ag | PBE-GGA | relaxed

Structure (CIF):
```
data_TbY3Ag
_chemical_formula_sum 'Tb4 Y12 Ag4'
_symmetry_space_group_name_H-M 'C 1 2/m 1'
_symmetry_Int_Tables_number 12
_cell_length_a 11.518
_cell_length_b 8.496
_cell_length_c 7.850
_cell_angle_alpha 90.00
_cell_angle_beta 123.85
_cell_angle_gamma 90.00
loop_
_symmetry_equiv_pos_as_xyz
'x,y,z'
'-x,-y,-z'
'-x,y,-z'
'x,-y,z'
'x+1/2,y+1/2,z'
'-x+1/2,-y+1/2,-z'
'-x+1/2,y+1/2,-z'
'x+1/2,-y+1/2,z'
loop_
_atom_site_label
_atom_site_type_symbol
_atom_site_fract_x
_atom_site_fract_y
_atom_site_fract_z
Tb1 Tb 0.081 0.000 0.275
Y1 Y 0.050 0.500 0.313
Y2 Y 0.186 0.202 0.706
Ag1 Ag 0.232 0.000 0.063
```

DFT formation energy ... 0.040 eV per atom
Size of the total moment ... 0.00 μB/f.u.
DOS(E_F) ... 1.6249 states/eV/atom

No. 5
Tb2Y2Ag | PBE-GGA | relaxed

Structure (CIF):
```
data_Tb2Y2Ag
_chemical_formula_sum 'Tb4 Y4 Ag2'
_symmetry_space_group_name_H-M 'I 4/m m m'
_symmetry_Int_Tables_number 139
_symmetry_space_group_name_Hall '-I 4 2'
_cell_length_a 3.568
_cell_length_b 3.568
_cell_length_c 22.880
_cell_angle_alpha 90.00
_cell_angle_beta 90.00
_cell_angle_gamma 90.00
loop_
_atom_site_label
_atom_site_type_symbol
_atom_site_fract_x
_atom_site_fract_y
_atom_site_fract_z
Tb1 Tb 0.000 0.000 0.196
Y1 Y 0.000 0.000 0.417
Ag1 Ag 0.000 0.000 0.000
```

DFT formation energy ... -0.104 eV per atom
E above lowest polymorph ... 0.0000 eV per atom
Size of the total moment ... 0.00 μB/f.u.
DOS(E_F) ... 1.2903 states/eV/atom

No. 6
Tb2YAg6 | PBE-GGA | relaxed

Structure (CIF):
```
data_Tb2YAg6
_chemical_formula_sum 'Tb4 Y2 Ag12'
_symmetry_space_group_name_H-M 'C 1 2/m 1'
_symmetry_Int_Tables_number 12
_cell_length_a 5.319
_cell_length_b 16.223
_cell_length_c 5.326
_cell_angle_alpha 90.00
_cell_angle_beta 119.80
_cell_angle_gamma 90.00
loop_
_symmetry_equiv_pos_as_xyz
'x,y,z'
'-x,-y,-z'
'-x,y,-z'
'x,-y,z'
'x+1/2,y+1/2,z'
'-x+1/2,-y+1/2,-z'
'-x+1/2,y+1/2,-z'
'x+1/2,-y+1/2,z'
loop_
_atom_site_label
_atom_site_type_symbol
_atom_site_fract_x
_atom_site_fract_y
_atom_site_fract_z
Tb1 Tb 0.000 0.165 0.000
Y1 Y 0.000 0.000 0.500
Ag1 Ag 0.161 0.500 0.823
Ag2 Ag 0.166 0.334 0.335
```

DFT formation energy ... -0.248 eV per atom
Size of the total moment ... 0.00 μB/f.u.
DOS(E_F) ... 0.5311 states/eV/atom

No. 7
TbY4Ag5 | PBE-GGA | relaxed

Structure (CIF):
```
data_TbY4Ag5
_chemical_formula_sum 'Tb1 Y4 Ag5'
_symmetry_space_group_name_H-M 'P 4/m m m'
_symmetry_Int_Tables_number 123
_symmetry_space_group_name_Hall '-P 4 2'
_cell_length_a 3.617
_cell_length_b 3.617
_cell_length_c 18.521
_cell_angle_alpha 90.00
_cell_angle_beta 90.00
_cell_angle_gamma 90.00
loop_
_atom_site_label
_atom_site_type_symbol
_atom_site_fract_x
_atom_site_fract_y
_atom_site_fract_z
Tb1 Tb 0.000 0.000 0.000
Y1 Y 0.000 0.000 0.200
Y2 Y 0.000 0.000 0.400
Ag1 Ag 0.500 0.500 0.100
Ag2 Ag 0.500 0.500 0.300
Ag3 Ag 0.500 0.500 0.500
```

DFT formation energy ... -0.330 eV per atom
Size of the total moment ... 0.00 μB/f.u.
DOS(E_F) ... 0.4628 states/eV/atom

No. 8
TbYAg | PBE-GGA | relaxed

Structure (CIF):
```
data_TbYAg
_chemical_formula_sum 'Tb4 Y4 Ag4'
_symmetry_space_group_name_H-M 'C 1 2/m 1'
_symmetry_Int_Tables_number 12
_cell_length_a 13.019
_cell_length_b 3.771
_cell_length_c 8.442
_cell_angle_alpha 90.00
_cell_angle_beta 126.43
_cell_angle_gamma 90.00
loop_
_symmetry_equiv_pos_as_xyz
'x,y,z'
'-x,-y,-z'
'-x,y,-z'
'x,-y,z'
'x+1/2,y+1/2,z'
'-x+1/2,-y+1/2,-z'
'-x+1/2,y+1/2,-z'
'x+1/2,-y+1/2,z'
loop_
_atom_site_label
_atom_site_type_symbol
_atom_site_fract_x
_atom_site_fract_y
_atom_site_fract_z
Tb1 Tb 0.102 0.000 0.379
Y1 Y 0.149 0.500 0.058
Ag1 Ag 0.129 0.500 0.681
```

DFT formation energy ... -0.176 eV per atom
E above lowest polymorph ... 0.0321 eV per atom
Size of the total moment ... 0.00 μB/f.u.
DOS(E_F) ... 1.0188 states/eV/atom

No. 9
Tb5YAg6 | PBE-GGA | relaxed

Structure (CIF):
```
data_Tb5YAg6
_chemical_formula_sum 'Tb10 Y2 Ag12'
_symmetry_space_group_name_H-M 'C m m m'
_symmetry_Int_Tables_number 65
_symmetry_space_group_name_Hall '-C 2 2'
_cell_length_a 5.185
_cell_length_b 15.562
_cell_length_c 7.242
_cell_angle_alpha 90.00
_cell_angle_beta 90.00
_cell_angle_gamma 90.00
loop_
_atom_site_label
_atom_site_type_symbol
_atom_site_fract_x
_atom_site_fract_y
_atom_site_fract_z
Tb1 Tb 0.000 0.000 0.000
Tb2 Tb 0.000 0.333 0.500
Tb3 Tb 0.000 0.334 0.000
Y1 Y 0.000 0.000 0.500
Ag1 Ag 0.000 0.167 0.249
Ag2 Ag 0.000 0.500 0.251
```

DFT formation energy ... -0.319 eV per atom
Size of the total moment ... 0.00 μB/f.u.
DOS(E_F) ... 0.5087 states/eV/atom

No. 10
TbY2Ag6 | PBE-GGA | relaxed

Structure (CIF):
```
data_TbY2Ag6
_chemical_formula_sum 'Tb2 Y4 Ag12'
_symmetry_space_group_name_H-M 'C 1 2/m 1'
_symmetry_Int_Tables_number 12
_cell_length_a 5.315
_cell_length_b 16.172
_cell_length_c 5.333
_cell_angle_alpha 90.00
_cell_angle_beta 119.74
_cell_angle_gamma 90.00
loop_
_symmetry_equiv_pos_as_xyz
'x,y,z'
'-x,-y,-z'
'-x,y,-z'
'x,-y,z'
'x+1/2,y+1/2,z'
'-x+1/2,-y+1/2,-z'
'-x+1/2,y+1/2,-z'
'x+1/2,-y+1/2,z'
loop_
_atom_site_label
_atom_site_type_symbol
_atom_site_fract_x
_atom_site_fract_y
_atom_site_fract_z
Tb1 Tb 0.000 0.000 0.000
Y1 Y 0.000 0.165 0.500
Ag1 Ag 0.161 0.500 0.323
Ag2 Ag 0.165 0.334 0.836
```

DFT formation energy ... -0.250 eV per atom
Size of the total moment ... 0.00 μB/f.u.
DOS(E_F) ... 0.6112 states/eV/atom

No. 11
TbYAg | PBE-GGA | relaxed

Structure (CIF):
```
data_TbYAg
_chemical_formula_sum 'Tb1 Y1 Ag1'
_symmetry_space_group_name_H-M 'P 3 m 1'
_symmetry_Int_Tables_number 156
_cell_length_a 5.0619
_cell_length_b 5.0619
_cell_length_c 3.6801
_cell_angle_alpha 90.00
_cell_angle_beta 90.00
_cell_angle_gamma 120.00
loop_
_symmetry_equiv_pos_as_xyz
'x,y,z'
'-y,x-y,z'
'-x+y,-x,z'
'-y,-x,z'
'-x+y,y,z'
'x,x-y,z'
loop_
_atom_site_label
_atom_site_type_symbol
_atom_site_fract_x
_atom_site_fract_y
_atom_site_fract_z
Tb1 Tb 0.0000 0.0000 0.0000
Y1 Y 0.3333 0.6667 0.5433
Ag1 Ag 0.6667 0.3333 0.2711
```

DFT formation energy ... -0.032 eV per atom
E above lowest polymorph ... 0.1757 eV per atom
Size of the total moment ... 0.00 μB/f.u.
DOS(E_F) ... 0.8840 states/eV/atom

- Among the records above, which one has the highest size of the total moment?
  number 3

- Which value of DOS(E_F) does entry 6 give?
  0.5311 states/eV/atom